[1]
Compound: HgAs2BrF
Source: Alexandria via LeMat-Bulk
Functional: GGA-PBE
Structure: optimized geometry

Output
M_tot = 0.16 μB per atom
DOS(E_F) = 1.005 states/eV/atom
space group = P4/mmm
distance to the lowest polymorph of the same formula = 10.58 kcal/mol of atoms

Structure (extended XYZ):
```
5
Lattice="5.259 0.000 0.000 0.000 5.259 0.000 0.000 0.000 5.420" Properties=species:S:1:pos:R:3 pbc="T T T"
Hg 0.000 0.000 0.000
As 0.000 2.630 0.000
As 2.630 0.000 0.000
Br 0.000 0.000 2.710
F 2.630 2.630 2.710
```

---

[2]
Compound: HgAsBr2F
Source: Alexandria via LeMat-Bulk
Functional: GGA-PBE
Structure: optimized geometry

Output
M_tot = 0.16 μB per atom
DOS(E_F) = 1.747 states/eV/atom
space group = P4/mmm
distance to the lowest polymorph of the same formula = 10.46 kcal/mol of atoms

Structure (extended XYZ):
```
5
Lattice="5.394 0.000 0.000 0.000 5.394 0.000 0.000 0.000 5.447" Properties=species:S:1:pos:R:3 pbc="T T T"
Hg 0.000 0.000 0.000
As 0.000 0.000 2.724
Br 0.000 2.697 0.000
Br 2.697 0.000 0.000
F 2.697 2.697 2.724
```

---

[3]
Compound: HgAs2BrF
Source: Alexandria via LeMat-Bulk
Functional: GGA-PBE
Structure: optimized geometry

Output
M_tot = 0.17 μB per atom
DOS(E_F) = 0.554 states/eV/atom
space group = P4/mmm
distance to the lowest polymorph of the same formula = 0.00 kcal/mol of atoms

Structure (extended XYZ):
```
5
Lattice="4.368 0.000 0.000 0.000 4.368 0.000 0.000 0.000 6.271" Properties=species:S:1:pos:R:3 pbc="T T T"
Hg 0.000 0.000 0.000
As 0.000 2.184 3.135
As 2.184 0.000 3.135
Br 2.184 2.184 0.000
F 2.184 2.184 3.135
```

---

[4]
Compound: HgAsBrF6
Source: Alexandria via LeMat-Bulk
Functional: GGA-PBE
Structure: optimized geometry

Output
M_tot = 0.00 μB per atom
E = -33.4 eV per cell
DOS(E_F) = 0.000 states/eV/atom
space group = P1

Structure (extended XYZ):
```
9
Lattice="4.717 0.000 0.000 -1.009 5.386 0.000 -0.278 -0.241 6.386" Properties=species:S:1:pos:R:3 pbc="T T T"
Hg 0.000 0.000 0.000
As 4.065 2.231 3.941
Br 1.356 4.991 1.024
F 0.199 1.654 2.510
F 0.125 3.809 3.885
F 0.672 1.620 5.005
F 2.737 2.789 2.961
F 3.317 0.615 4.163
F 3.224 2.747 5.453
```

---

[5]
Compound: AsIrBr2F
Source: Alexandria via LeMat-Bulk
Functional: GGA-PBE
Structure: optimized geometry

Output
M_tot = 0.02 μB per atom
DOS(E_F) = 1.364 states/eV/atom
space group = P4/mmm
distance to the lowest polymorph of the same formula = 0.00 kcal/mol of atoms

Structure (extended XYZ):
```
5
Lattice="5.150 0.000 0.000 0.000 5.150 0.000 0.000 0.000 4.655" Properties=species:S:1:pos:R:3 pbc="T T T"
As 0.000 0.000 0.000
Ir 0.000 0.000 2.327
Br 0.000 2.575 2.327
Br 2.575 0.000 2.327
F 2.575 2.575 0.000
```

---

[6]
Compound: AsIrBr2F
Source: Alexandria via LeMat-Bulk
Functional: GGA-PBE
Structure: optimized geometry

Output
M_tot = 0.31 μB per atom
DOS(E_F) = 0.924 states/eV/atom
space group = P4/mmm
distance to the lowest polymorph of the same formula = 13.84 kcal/mol of atoms

Structure (extended XYZ):
```
5
Lattice="5.333 0.000 0.000 0.000 5.333 0.000 0.000 0.000 3.811" Properties=species:S:1:pos:R:3 pbc="T T T"
As 0.000 0.000 0.000
Ir 2.666 2.666 0.000
Br 0.000 2.666 1.905
Br 2.666 0.000 1.905
F 0.000 0.000 1.905
```

---

> What is the formula in the sixth record?

AsIrBr2F

---

> What is the DOS(E_F) in the third record?

0.554 states/eV/atom

---

Copy entry 1 word for word.
Compound: HgAs2BrF
Source: Alexandria via LeMat-Bulk
Functional: GGA-PBE
Structure: optimized geometry

Output
M_tot = 0.16 μB per atom
DOS(E_F) = 1.005 states/eV/atom
space group = P4/mmm
distance to the lowest polymorph of the same formula = 10.58 kcal/mol of atoms

Structure (extended XYZ):
```
5
Lattice="5.259 0.000 0.000 0.000 5.259 0.000 0.000 0.000 5.420" Properties=species:S:1:pos:R:3 pbc="T T T"
Hg 0.000 0.000 0.000
As 0.000 2.630 0.000
As 2.630 0.000 0.000
Br 0.000 0.000 2.710
F 2.630 2.630 2.710
```

---

> M_tot of number 6 (AsIrBr2F)?

0.31 μB per atom